A:
Density functional theory data (meta-GGA SCAN) for PRhCl2 at its PBEsol-relaxed geometry.

Summary:
Symmetry ... P3m1, No. 156

```
4
Lattice="3.4477 0.0000 0.0000 -1.7239 2.9858 0.0000 0.0000 0.0000 7.7154" Properties=species:S:1:pos:R:3 pbc="T T T"
Rh 0.0000 1.9906 2.2646
Cl 1.7239 0.9953 5.3189
P 1.7239 0.9953 3.3049
Cl 0.0000 0.0000 0.6846
```

B:
Density functional theory data (meta-GGA SCAN) for PRhCl2 at its PBEsol-relaxed geometry.

Summary:
Symmetry ... Cmmm, No. 65

```
4
Lattice="-1.4560 0.3155 3.5650 3.5706 -1.3761 1.5801 0.8517 4.0514 -0.0107" Properties=species:S:1:pos:R:3 pbc="T T T"
P 1.4831 1.4954 2.5672
Cl 1.4700 2.8170 0.3511
Rh -0.7280 0.1578 1.7825
Cl 2.9522 -0.1417 1.2183
```

Taking the most stable structure as the zero point, the relative energies in kJ/mol of atoms are A 0.0; B 123.2.

A:
Density functional theory data (meta-GGA SCAN) for TlSb2Ir at its PBEsol-relaxed geometry.

Summary:
Symmetry ... Cm, No. 8

```
4
Lattice="-3.2796 1.4429 -0.4588 1.5266 -2.2947 -3.9085 -2.5686 -4.5487 4.0558" Properties=species:S:1:pos:R:3 pbc="T T T"
Ir -1.9091 -0.5015 -2.1505
Tl -1.3488 -3.5744 -1.5995
Sb -2.0467 -4.2225 1.3510
Sb -0.4147 -0.9498 -0.0226
```

B:
Density functional theory data (meta-GGA SCAN) for TlSb2Ir at its PBEsol-relaxed geometry.

Summary:
Symmetry ... Imm2, No. 44

```
4
Lattice="-0.3643 1.3956 -2.7552 2.7036 -1.7527 -1.2453 -6.7762 -6.5681 -0.6759" Properties=species:S:1:pos:R:3 pbc="T T T"
Ir -0.8728 -3.5534 -1.6845
Sb -0.9879 -1.1888 -0.4716
Tl -4.9221 -5.9230 -2.3494
Sb -3.2606 -3.0067 -2.8470
```

Taking the most stable structure as the zero point, the relative energies in kJ/mol of atoms are A 0.6; B 0.0.

A:
Density functional theory data (meta-GGA SCAN) for CdTeMo2 at its PBEsol-relaxed geometry.

Summary:
Symmetry ... Pm, No. 6

```
4
Lattice="-2.3130 2.0846 0.0217 -2.5034 -2.8059 2.7062 2.9564 1.4280 4.2155" Properties=species:S:1:pos:R:3 pbc="T T T"
Mo -2.1957 0.3665 2.3145
Cd 0.5069 0.0682 4.5053
Mo -2.1018 2.0994 0.2324
Te -0.0608 2.0134 2.0313
```

B:
Density functional theory data (meta-GGA SCAN) for CdTeMo2 at its PBEsol-relaxed geometry.

Summary:
Symmetry ... P2/m, No. 10

```
4
Lattice="2.9964 0.0000 -0.0190 0.0000 4.5980 0.0000 -0.1963 0.0000 5.4549" Properties=species:S:1:pos:R:3 pbc="T T T"
Mo 1.0353 0.0000 1.5456
Cd -0.0982 2.2990 2.7274
Te 1.4982 2.2990 -0.0095
Mo 1.7648 0.0000 3.8903
```

Taking the most stable structure as the zero point, the relative energies in kJ/mol of atoms are A 0.0; B 10.1.

A:
Density functional theory data (meta-GGA SCAN) for GaPb3 at its PBEsol-relaxed geometry.

Summary:
Symmetry ... I4/mmm, No. 139

```
4
Lattice="-3.0707 2.4182 2.9731 -2.3413 -4.1999 0.9979 5.4984 0.1606 1.4925" Properties=species:S:1:pos:R:3 pbc="T T T"
Pb -0.1392 0.8440 3.2256
Pb -2.7060 -0.8908 1.9855
Pb 0.2255 -2.4651 2.2379
Ga 0.0000 0.0000 0.0000
```

B:
Density functional theory data (meta-GGA SCAN) for GaPb3 at its PBEsol-relaxed geometry.

Summary:
Symmetry ... P6_3/mmc, No. 194

```
8
Lattice="-5.3166 -0.7800 -1.7455 1.8475 -5.5796 -3.1338 -2.0419 -0.2583 6.3348" Properties=species:S:1:pos:R:3 pbc="T T T"
Pb -2.7966 -5.2662 -2.8444
Pb -1.7067 -1.2242 1.1735
Pb -1.8027 -4.1053 2.7533
Pb -2.7144 -1.3517 4.2999
Pb -3.7084 -2.5126 -1.2978
Ga -4.7329 -2.6171 1.8695
Pb -3.8043 -5.3937 0.2820
Ga -0.7781 -4.0009 -0.4140
```

Taking the most stable structure as the zero point, the relative energies in kJ/mol of atoms are A 0.0; B 1.8.